FeSbAs2Se after structural relaxation. Source: Alexandria via LeMat-Bulk, functional GGA-PBE.

Output
energy above the most stable polymorph in this dataset	0.0000	eV/atom
space group	P4/mmm
total energy	-4.747	eV per atom

The structure in POSCAR format:
```
FeSbAs2Se
1.0
4.4556 0.0000 0.0000
0.0000 4.4556 0.0000
0.0000 0.0000 5.2819
Sb As Fe Se
1 2 1 1
direct
0.5000 0.5000 0.5000
0.0000 0.5000 0.0000
0.5000 0.0000 0.0000
0.0000 0.0000 0.0000
0.0000 0.0000 0.5000
```

=====

SrFe2SbAs after structural relaxation. Source: Alexandria via LeMat-Bulk, functional GGA-PBE.

Output
space group	P4/mmm
total energy	-4.785	eV per atom

The structure in POSCAR format:
```
SrFe2SbAs
1.0
4.8411 0.0000 0.0000
0.0000 6.2413 0.0000
0.0000 0.0000 4.8411
Sb As Fe Sr
1 1 2 1
direct
0.0000 0.0000 0.0000
0.5000 0.5000 0.5000
0.0000 0.0000 0.5000
0.5000 0.0000 0.0000
0.0000 0.5000 0.0000
```

=====

FeSb2TeAs after structural relaxation. Source: Alexandria via LeMat-Bulk, functional GGA-PBE.

Output
energy above the most stable polymorph in this dataset	0.0000	eV/atom
space group	P4/mmm
total energy	-4.400	eV per atom

The structure in POSCAR format:
```
FeSb2TeAs
1.0
-1.5270 3.1893 3.2501
-4.5331 -1.3888 -0.7670
0.4737 -3.6430 3.7973
Sb As Te Fe
2 1 1 1
direct
0.0000 0.5000 0.0000
0.5000 0.0000 0.0000
0.5000 0.5000 0.5000
0.0000 0.0000 0.5000
0.0000 0.0000 0.0000
```

=====

For the records above, the corresponding total magnetization values read 0.0; 6.3; 0.0 μB/cell.